A.
Below is a relaxed ZrBeSbI2 crystal, with properties calculated at the PBE-GGA level.

abc: 5.700 5.700 5.731
angles: 90.00 90.00 90.00
Sites, in units of the cell vectors:
1 Zr 0.000 0.000 0.000
2 I 0.500 0.000 0.000
3 I 0.000 0.500 0.000
4 Sb 0.000 0.000 0.500
5 Be 0.500 0.500 0.500

Results
crystal system	tetragonal
size of the total moment	0.00	μB per formula unit
density	4.24	g/cm³
D(E_F)	4.3	states/eV/cell

=====

B.
Below is a relaxed ZrBeSbI2 crystal, with properties calculated at the PBE-GGA level.

abc: 5.030 5.030 5.204
angles: 90.00 90.00 90.00
Last column: magnetic moment on the atom in μB.
Sites, in units of the cell vectors:
1 Be 0.000 0.000 0.000  0.02
2 I 0.000 0.500 0.000  -0.04
3 I 0.500 0.000 0.000  -0.04
4 Zr 0.500 0.500 0.500  0.83
5 Sb 0.000 0.000 0.500  -0.06

Results
crystal system	tetragonal
size of the total moment	1.12	μB per formula unit
density	6.00	g/cm³
D(E_F)	4.7	states/eV/cell

=====

Decreasing stability: A, B

=====

A.
Below is a relaxed Sc2BeI crystal, with properties calculated at the PBE-GGA level.

abc: 6.279 6.279 7.418
angles: 64.96 64.96 90.00
Sites, in units of the cell vectors:
1 Sc 0.375 0.452 0.750
2 Sc 0.202 0.625 0.250
3 Sc 0.875 0.798 0.750
4 Sc 0.548 0.125 0.250
5 I 0.750 0.250 0.500
6 I 0.000 0.000 0.000
7 Be 0.250 0.750 0.500
8 Be 0.500 0.500 0.000

Results
crystal system	tetragonal
size of the total moment	0.00	μB per formula unit
density	3.20	g/cm³
D(E_F)	10.0	states/eV/cell

=====

B.
Below is a relaxed Sc2BeI crystal, with properties calculated at the PBE-GGA level.

abc: 8.472 8.472 8.472
angles: 27.15 27.15 27.15
Sites, in units of the cell vectors:
1 Be 0.500 0.500 0.500
2 I 0.000 0.000 0.000
3 Sc 0.884 0.884 0.884
4 Sc 0.116 0.116 0.116

Results
crystal system	trigonal
size of the total moment	0.01	μB per formula unit
density	3.36	g/cm³
D(E_F)	5.1	states/eV/cell

=====

Decreasing stability: B, A

=====

A.
Below is a relaxed BeSe3I crystal, with properties calculated at the PBE-GGA level.

abc: 4.727 4.727 4.727
angles: 90.00 90.00 90.00
Sites, in units of the cell vectors:
1 I 0.500 0.500 0.500
2 Se 0.500 0.000 0.000
3 Se 0.000 0.500 0.000
4 Se 0.000 0.000 0.500
5 Be 0.000 0.000 0.000

Results
crystal system	cubic
size of the total moment	0.00	μB per formula unit
density	5.86	g/cm³
D(E_F)	3.8	states/eV/cell

=====

B.
Below is a relaxed BeSe3I crystal, with properties calculated at the PBE-GGA level.

abc: 5.392 5.392 5.392
angles: 90.00 90.00 90.00
Sites, in units of the cell vectors:
1 Be 0.500 0.500 0.500
2 Se 0.000 0.500 0.000
3 Se 0.000 0.000 0.500
4 Se 0.500 0.000 0.000
5 I 0.000 0.000 0.000

Results
crystal system	cubic
size of the total moment	0.00	μB per formula unit
density	3.95	g/cm³
D(E_F)	5.9	states/eV/cell

=====

Decreasing stability: A, B

=====

A.
Below is a relaxed Be3SeI crystal, with properties calculated at the PBE-GGA level.

abc: 4.795 4.795 4.795
angles: 90.00 90.00 90.00
Sites, in units of the cell vectors:
1 Be 0.000 0.000 0.500
2 Be 0.000 0.500 0.000
3 Be 0.500 0.000 0.000
4 I 0.000 0.000 0.000
5 Se 0.500 0.500 0.500

Results
crystal system	cubic
size of the total moment	0.00	μB per formula unit
density	3.51	g/cm³
D(E_F)	3.5	states/eV/cell

=====

B.
Below is a relaxed Be3SeI crystal, with properties calculated at the PBE-GGA level.

abc: 4.582 4.582 4.582
angles: 90.00 90.00 90.00
Sites, in units of the cell vectors:
1 Be 0.000 0.500 0.000
2 Be 0.000 0.000 0.500
3 Be 0.500 0.000 0.000
4 I 0.500 0.500 0.500
5 Se 0.000 0.000 0.000

Results
crystal system	cubic
size of the total moment	0.00	μB per formula unit
density	4.02	g/cm³
D(E_F)	3.0	states/eV/cell

=====

Decreasing stability: B, A

=====

A.
Below is a relaxed BeSeI3 crystal, with properties calculated at the PBE-GGA level.

abc: 5.750 5.750 5.750
angles: 90.00 90.00 90.00
Last column: magnetic moment on the atom in μB.
Sites, in units of the cell vectors:
1 I 0.000 0.000 0.500  0.01
2 I 0.500 0.000 0.000  0.00
3 I 0.000 0.500 0.000  0.01
4 Se 0.000 0.000 0.000  -0.02
5 Be 0.500 0.500 0.500  0.09

Results
crystal system	cubic
size of the total moment	0.24	μB per formula unit
density	4.09	g/cm³
D(E_F)	3.8	states/eV/cell

=====

B.
Below is a relaxed BeSeI3 crystal, with properties calculated at the PBE-GGA level.

abc: 5.261 5.261 5.261
angles: 90.00 90.00 90.00
Last column: magnetic moment on the atom in μB.
Sites, in units of the cell vectors:
1 I 0.000 0.500 0.000  0.02
2 I 0.000 0.000 0.500  0.08
3 I 0.500 0.000 0.000  0.06
4 Be 0.000 0.000 0.000  0.01
5 Se 0.500 0.500 0.500  0.79

Results
crystal system	cubic
size of the total moment	1.50	μB per formula unit
density	5.34	g/cm³
D(E_F)	5.1	states/eV/cell

=====

Decreasing stability: B, A

=====

A.
Below is a relaxed BeTeSeI2 crystal, with properties calculated at the PBE-GGA level.

abc: 6.291 4.607 6.291
angles: 90.00 90.00 90.00
Last column: magnetic moment on the atom in μB.
Sites, in units of the cell vectors:
1 I 0.500 0.000 0.000  0.12
2 I 0.000 0.000 0.500  0.14
3 Be 0.000 0.500 0.000  -0.06
4 Te 0.000 0.000 0.000  -0.03
5 Se 0.500 0.500 0.500  1.05

Results
crystal system	tetragonal
size of the total moment	1.90	μB per formula unit
density	4.28	g/cm³
D(E_F)	3.1	states/eV/cell

=====

B.
Below is a relaxed BeTeSeI2 crystal, with properties calculated at the PBE-GGA level.

abc: 5.697 5.697 5.615
angles: 90.00 90.00 90.00
Sites, in units of the cell vectors:
1 I 0.500 0.000 0.000
2 I 0.000 0.500 0.000
3 Se 0.000 0.000 0.000
4 Be 0.500 0.500 0.500
5 Te 0.000 0.000 0.500

Results
crystal system	tetragonal
size of the total moment	0.00	μB per formula unit
density	4.28	g/cm³
D(E_F)	5.5	states/eV/cell

=====

C.
Below is a relaxed BeTeSeI2 crystal, with properties calculated at the PBE-GGA level.

abc: 4.868 4.868 5.893
angles: 90.00 90.00 90.00
Sites, in units of the cell vectors:
1 Te 0.000 0.000 0.500
2 I 0.500 0.000 0.000
3 I 0.000 0.500 0.000
4 Se 0.500 0.500 0.500
5 Be 0.000 0.000 0.000

Results
crystal system	tetragonal
size of the total moment	0.00	μB per formula unit
density	5.58	g/cm³
D(E_F)	4.0	states/eV/cell

=====

Decreasing stability: C, A, B

=====

A.
Below is a relaxed BeSi2I crystal, with properties calculated at the PBE-GGA level.

abc: 3.900 4.853 11.435
angles: 85.19 86.18 75.35
Sites, in units of the cell vectors:
1 Si 0.150 0.191 0.023
2 Si 0.271 0.671 0.942
3 Si 0.966 0.996 0.785
4 Si 0.368 0.264 0.820
5 Be 0.587 0.332 0.100
6 Be 0.692 0.923 0.979
7 I 0.566 0.488 0.281
8 I 0.928 0.801 0.594

Results
crystal system	triclinic
size of the total moment	0.00	μB per formula unit
density	3.06	g/cm³
D(E_F)	2.0	states/eV/cell

=====

B.
Below is a relaxed BeSi2I crystal, with properties calculated at the PBE-GGA level.

abc: 3.788 3.849 7.404
angles: 86.06 88.84 61.95
Sites, in units of the cell vectors:
1 Si 0.345 0.968 0.885
2 Si 0.686 0.289 0.987
3 I 0.019 0.669 0.405
4 Be 0.484 0.763 0.201

Results
crystal system	triclinic
size of the total moment	0.00	μB per formula unit
density	3.36	g/cm³
D(E_F)	0.6	states/eV/cell

=====

Decreasing stability: A, B

=====

A.
Below is a relaxed BeSi2I crystal, with properties calculated at the PBE-GGA level.

abc: 3.878 5.607 10.695
angles: 90.25 89.78 109.69
Sites, in units of the cell vectors:
1 Si 0.645 0.354 0.895
2 Si 0.764 0.788 0.870
3 Si 0.368 0.984 0.780
4 Si 0.215 0.062 0.038
5 I 0.694 0.564 0.232
6 I 0.340 0.014 0.548
7 Be 0.824 0.279 0.083
8 Be 0.624 0.863 0.078

Results
crystal system	triclinic
size of the total moment	0.00	μB per formula unit
density	2.91	g/cm³
D(E_F)	2.2	states/eV/cell

=====

B.
Below is a relaxed BeSi2I crystal, with properties calculated at the PBE-GGA level.

abc: 3.966 4.550 11.486
angles: 94.09 98.80 90.26
Sites, in units of the cell vectors:
1 I 0.461 0.345 0.741
2 I 0.789 0.747 0.431
3 Si 0.113 0.136 0.164
4 Si 0.405 0.513 0.088
5 Si 0.636 0.905 0.227
6 Si 0.060 0.878 0.975
7 Be 0.534 0.661 0.914
8 Be 0.530 0.150 0.936

Results
crystal system	triclinic
size of the total moment	0.00	μB per formula unit
density	3.12	g/cm³
D(E_F)	0.7	states/eV/cell

=====

Decreasing stability: B, A